(1)
The following is a DFT calculation (PBE) of crystalline PIrC at its relaxed geometry.

a = 2.8722 Å, b = 2.8722 Å, c = 9.8344 Å
α = 90.00°, β = 90.00°, γ = 120.00°
Space group P-3m1 (No. 164)
Inequivalent atoms, fractional coordinates:
P  0.3333  0.6667  0.1647 (multiplicity 2)
Ir  0.3333  0.6667  0.3859 (multiplicity 2)
C  0.0000  0.0000  0.0780 (multiplicity 2)



(2)
The following is a DFT calculation (PBE) of crystalline PIrC at its relaxed geometry.

a = 3.309 Å, b = 3.556 Å, c = 4.267 Å
α = 69.22°, β = 67.31°, γ = 62.63°
Space group P1 (No. 1)
Inequivalent atoms, fractional coordinates:
P  0.000  0.000  0.000 (multiplicity 1)
Ir  0.370  0.812  0.447 (multiplicity 1)
C  0.981  0.416  0.618 (multiplicity 1)



Q: Which of them is the least stable? A: (2).



(1)
The following is a DFT calculation (PBE) of crystalline PIrC at its relaxed geometry.

a = 7.600 Å, b = 3.652 Å, c = 3.677 Å
α = 90.00°, β = 106.85°, γ = 90.00°
Space group Cm (No. 8)
Inequivalent atoms, fractional coordinates:
P  0.000  0.000  0.000 (multiplicity 2)
Ir  0.191  0.500  0.091 (multiplicity 2)
C  0.291  0.500  0.641 (multiplicity 2)



(2)
The following is a DFT calculation (PBE) of crystalline PIrC at its relaxed geometry.

a = 5.623 Å, b = 4.507 Å, c = 2.955 Å
α = 90.00°, β = 103.87°, γ = 90.00°
Space group Cm (No. 8)
Inequivalent atoms, fractional coordinates:
P  0.000  0.000  0.000 (multiplicity 2)
Ir  0.426  0.000  0.251 (multiplicity 2)
C  0.313  0.500  0.419 (multiplicity 2)



Q: Which of them is the least stable? A: (1).



(1)
The following is a DFT calculation (PBE) of crystalline PIrC at its relaxed geometry.

a = 2.845 Å, b = 2.905 Å, c = 8.912 Å
α = 90.00°, β = 90.00°, γ = 90.00°
Space group Amm2 (No. 38)
Inequivalent atoms, fractional coordinates:
P  0.000  0.000  0.000 (multiplicity 2)
Ir  0.500  0.000  0.208 (multiplicity 2)
C  0.000  0.000  0.384 (multiplicity 2)



(2)
The following is a DFT calculation (PBE) of crystalline PIrC at its relaxed geometry.

a = 2.899 Å, b = 3.727 Å, c = 4.264 Å
α = 102.76°, β = 90.26°, γ = 112.51°
Space group P1 (No. 1)
Inequivalent atoms, fractional coordinates:
P  0.000  0.000  0.000 (multiplicity 1)
Ir  0.678  0.357  0.714 (multiplicity 1)
C  0.592  0.184  0.229 (multiplicity 1)



(3)
The following is a DFT calculation (PBE) of crystalline PIrC at its relaxed geometry.

a = 5.011 Å, b = 2.802 Å, c = 5.047 Å
α = 90.00°, β = 101.72°, γ = 90.00°
Space group Cm (No. 8)
Inequivalent atoms, fractional coordinates:
P  0.000  0.000  0.000 (multiplicity 2)
Ir  0.063  0.500  0.405 (multiplicity 2)
C  0.140  0.500  0.839 (multiplicity 2)



Q: Which of them is the least stable? A: (2).